This record from Alexandria describes an optimized crystal structure of KVSe2. The functional is PBE-GGA.

## Properties
Space group: P4/mmm, No. 123
Formation energy (no corrections) (eV/atom): -0.14

The structure in POSCAR format:
```
KVSe2
1.0
7.519 0.000 0.000
0.000 7.519 0.000
3.759 3.759 3.136
Se K V
4 2 2
Direct
0.250 0.250 0.000
0.750 0.750 0.000
0.750 0.250 0.000
0.250 0.750 0.000
0.750 0.250 0.500
0.250 0.750 0.500
0.750 0.750 0.500
0.250 0.250 0.500
```